Arrangement P

Compound: BeSb2TeI
Source: Alexandria via LeMat-Bulk
Functional: PBE
Structure: optimized geometry

```
5
Lattice="5.867 0.000 0.000 0.000 5.867 0.000 0.000 0.000 5.767" Properties=species:S:1:pos:R:3 pbc="T T T"
Be 0.000 0.000 0.000
Sb 0.000 2.933 2.884
Sb 2.933 0.000 2.884
Te 2.933 2.933 0.000
I 2.933 2.933 2.884
```

crystal system	tetragonal
DOS(E_F)	6.2	states/eV per cell
symmetry	P4/mmm, No. 123

***

Arrangement Q

Compound: BeSb2TeI
Source: Alexandria via LeMat-Bulk
Functional: PBE
Structure: optimized geometry

```
5
Lattice="5.241 0.000 0.000 0.000 5.241 0.000 0.000 0.000 4.853" Properties=species:S:1:pos:R:3 pbc="T T T"
Be 0.000 0.000 0.000
Sb 0.000 2.621 0.000
Sb 2.621 0.000 0.000
Te 0.000 0.000 2.427
I 2.621 2.621 2.427
```

crystal system	tetragonal
DOS(E_F)	4.3	states/eV per cell
symmetry	P4/mmm, No. 123

***

Arrangement R

Compound: BeSb2TeI
Source: Alexandria via LeMat-Bulk
Functional: PBE
Structure: optimized geometry

```
5
Lattice="5.214 0.000 0.000 0.000 5.214 0.000 0.000 0.000 4.861" Properties=species:S:1:pos:R:3 pbc="T T T"
Be 0.000 0.000 0.000
Sb 0.000 2.607 0.000
Sb 2.607 0.000 0.000
Te 2.607 2.607 2.430
I 0.000 0.000 2.430
```

crystal system	tetragonal
DOS(E_F)	2.6	states/eV per cell
symmetry	P4/mmm, No. 123

***

Arrangement S

Compound: BeSb2TeI
Source: Alexandria via LeMat-Bulk
Functional: PBE
Structure: optimized geometry

```
5
Lattice="5.832 0.000 0.000 0.000 5.832 0.000 0.000 0.000 6.131" Properties=species:S:1:pos:R:3 pbc="T T T"
Be 0.000 0.000 0.000
Sb 0.000 2.916 3.065
Sb 2.916 0.000 3.065
Te 2.916 2.916 3.065
I 2.916 2.916 0.000
```

crystal system	tetragonal
DOS(E_F)	5.4	states/eV per cell
symmetry	P4/mmm, No. 123

***

Which of them is the least stable? Correct choice: arrangement P.

***

Arrangement P

Compound: TiBeSbI2
Source: Alexandria via LeMat-Bulk
Functional: PBE
Structure: optimized geometry

```
5
Lattice="5.437 0.000 0.000 0.000 5.437 0.000 0.000 0.000 5.508" Properties=species:S:1:pos:R:3 pbc="T T T"
Ti 0.000 0.000 0.000
Be 2.719 2.719 2.754
Sb 0.000 0.000 2.754
I 0.000 2.719 0.000
I 2.719 0.000 0.000
```

crystal system	tetragonal
DOS(E_F)	3.9	states/eV per cell
symmetry	P4/mmm, No. 123

***

Arrangement Q

Compound: TiBeSbI2
Source: Alexandria via LeMat-Bulk
Functional: PBE
Structure: optimized geometry

```
5
Lattice="5.084 0.000 0.000 0.000 5.084 0.000 0.000 0.000 5.077" Properties=species:S:1:pos:R:3 pbc="T T T"
Ti 0.000 0.000 0.000
Be 2.542 2.542 2.539
Sb 2.542 2.542 0.000
I 0.000 2.542 2.539
I 2.542 0.000 2.539
```

crystal system	tetragonal
DOS(E_F)	8.9	states/eV per cell
symmetry	P4/mmm, No. 123

***

Which of them is the least stable? Correct choice: arrangement Q.

***

Arrangement P

Compound: BeTlSbI2
Source: Alexandria via LeMat-Bulk
Functional: PBE
Structure: optimized geometry

```
5
Lattice="5.740 0.000 0.000 0.000 5.740 0.000 0.000 0.000 4.790" Properties=species:S:1:pos:R:3 pbc="T T T"
Be 0.000 0.000 0.000
Tl 2.870 2.870 2.395
Sb 0.000 0.000 2.395
I 0.000 2.870 0.000
I 2.870 0.000 0.000
```

crystal system	tetragonal
DOS(E_F)	2.0	states/eV per cell
symmetry	P4/mmm, No. 123

***

Arrangement Q

Compound: BeTlSbI2
Source: Alexandria via LeMat-Bulk
Functional: PBE
Structure: optimized geometry

```
5
Lattice="6.162 0.000 0.000 0.000 6.162 0.000 0.000 0.000 5.930" Properties=species:S:1:pos:R:3 pbc="T T T"
Be 0.000 0.000 0.000
Tl 3.081 3.081 2.965
Sb 3.081 3.081 0.000
I 0.000 3.081 2.965
I 3.081 0.000 2.965
```

crystal system	tetragonal
DOS(E_F)	3.1	states/eV per cell
symmetry	P4/mmm, No. 123

***

Which of them is the least stable? Correct choice: arrangement Q.

***

Arrangement P

Compound: BeSbWI2
Source: Alexandria via LeMat-Bulk
Functional: PBE
Structure: optimized geometry

```
5
Lattice="5.050 0.000 0.000 0.000 5.050 0.000 0.000 0.000 5.052" Properties=species:S:1:pos:R:3 pbc="T T T"
Be 0.000 0.000 0.000
Sb 0.000 0.000 2.526
W 2.525 2.525 2.526
I 0.000 2.525 0.000
I 2.525 0.000 0.000
```

crystal system	tetragonal
DOS(E_F)	3.4	states/eV per cell
symmetry	P4/mmm, No. 123

***

Arrangement Q

Compound: BeSbWI2
Source: Alexandria via LeMat-Bulk
Functional: PBE
Structure: optimized geometry

```
5
Lattice="5.583 0.000 0.000 0.000 5.583 0.000 0.000 0.000 5.257" Properties=species:S:1:pos:R:3 pbc="T T T"
Be 0.000 0.000 0.000
Sb 2.792 2.792 0.000
W 2.792 2.792 2.628
I 0.000 2.792 2.628
I 2.792 0.000 2.628
```

crystal system	tetragonal
DOS(E_F)	4.8	states/eV per cell
symmetry	P4/mmm, No. 123

***

Which of them is the least stable? Correct choice: arrangement P.